Below is a relaxed structure of Sb3Pb4Au, with properties calculated at the PBE level.

Raw formation energy, eV/atom: 0.014
Space-group type: Pmm2
Total DFT energy (no corrections), eV/cell: -30.4
Magnetization, Bohr magnetons per cell: 0.0

Cell: 4.299 4.471 12.550 Å, 90.00 90.00 90.00°
Positions (direct):
Sb  0.000  0.000  0.000
Sb  0.000  0.500  0.472
Sb  0.500  0.000  0.814
Pb  0.000  0.000  0.262
Pb  0.000  0.500  0.732
Pb  0.500  0.000  0.547
Pb  0.500  0.500  0.085
Au  0.500  0.500  0.318